Record 1
10
Lattice="9.4193 -2.1711 0.0000 9.4193 2.1711 0.0000 -1.8598 0.0000 8.5053" Properties=species:S:1:pos:R:3 comment="Nd5SmTe4 (GGA-PBE, optimized geometry)" magmom_total_mub_per_fu=0.0 formation_energy_uncorrected_ev_per_atom=-1.0083 total_energy_ev_per_atom=-5.12 vol_a3_per_atom=34.79 dos_ef_per_ev_cell=8.81 spacegroup=C2/m pbc="T T T"
Nd 0.0000 0.0000 0.0000
Nd 5.6865 0.0000 1.2350
Nd 5.0346 0.0000 5.8803
Nd 11.9443 0.0000 2.6250
Nd 11.2924 0.0000 7.2704
Sm -0.9299 0.0000 4.2527
Te 2.0740 0.0000 4.9025
Te 8.7815 0.0000 2.1027
Te 8.1974 0.0000 6.4026
Te 14.9049 0.0000 3.6029

---

Record 2
7
Lattice="2.7932 1.6127 9.1221 -2.7932 1.6127 9.1221 0.0000 -3.2254 9.1221" Properties=species:S:1:pos:R:3 comment="Nd4SmTe2 (GGA-PBE, optimized geometry)" magmom_total_mub_per_fu=0.0 formation_energy_uncorrected_ev_per_atom=-0.5772 total_energy_ev_per_atom=-4.87 vol_a3_per_atom=35.22 dos_ef_per_ev_cell=6.80 spacegroup=R-3m pbc="T T T"
Nd 0.0000 0.0000 3.6411
Nd 0.0000 0.0000 7.3487
Nd 0.0000 0.0000 20.0174
Nd 0.0000 0.0000 23.7250
Sm 0.0000 0.0000 13.6831
Te 0.0000 0.0000 10.5547
Te 0.0000 0.0000 16.8114

---

Record 3
12
Lattice="4.5049 0.0000 0.0000 0.0000 6.3197 0.0000 0.0000 0.0000 13.4046" Properties=species:S:1:pos:R:3 comment="Nd2SmTe3 (GGA-PBE, optimized geometry)" magmom_total_mub_per_fu=0.0 formation_energy_uncorrected_ev_per_atom=-1.4088 total_energy_ev_per_atom=-5.36 vol_a3_per_atom=31.80 dos_ef_per_ev_cell=6.02 spacegroup=Immm pbc="T T T"
Nd 0.0000 0.0000 2.2775
Nd 0.0000 0.0000 11.1270
Nd 2.2525 3.1598 4.4248
Nd 2.2525 3.1598 8.9798
Sm 0.0000 0.0000 6.7023
Sm 2.2525 3.1598 0.0000
Te 0.0000 3.1598 2.1898
Te 0.0000 3.1598 6.7023
Te 0.0000 3.1598 11.2148
Te 2.2525 0.0000 0.0000
Te 2.2525 0.0000 4.5125
Te 2.2525 0.0000 8.8921

---

Record 4
20
Lattice="8.9623 0.0000 0.0000 0.0000 6.6995 0.0000 -5.0891 0.0000 10.6702" Properties=species:S:1:pos:R:3 comment="NdSm3Te (GGA-PBE, optimized geometry)" magmom_total_mub_per_fu=0.0 formation_energy_uncorrected_ev_per_atom=-0.4201 total_energy_ev_per_atom=-4.83 vol_a3_per_atom=32.03 dos_ef_per_ev_cell=30.22 spacegroup=P2_1/c pbc="T T T"
Nd 0.1907 0.1049 3.3902
Nd -2.3539 3.2449 8.7254
Nd 6.2270 3.4547 1.9449
Nd 3.6824 6.5946 7.2800
Sm 0.3618 5.0150 0.2949
Sm -2.1828 5.0343 5.6301
Sm -2.3639 0.0826 8.7953
Sm 0.1806 3.2672 3.4602
Sm 0.4044 1.6481 6.7461
Sm 2.9489 1.7017 1.4110
Sm 0.9242 4.9978 9.2593
Sm 3.4688 5.0515 3.9242
Sm 3.6925 3.4323 7.2101
Sm 6.2370 6.6169 1.8750
Sm 6.0559 1.6652 5.0402
Sm 3.5114 1.6846 10.3753
Te 1.0324 5.0125 6.1235
Te 3.5770 5.0368 0.7884
Te 0.2961 1.6628 9.8819
Te 2.8407 1.6870 4.5467

---

Record 5
16
Lattice="4.0560 0.0000 0.0000 0.0000 12.3090 0.0000 0.0000 0.0000 10.1551" Properties=species:S:1:pos:R:3 comment="NdSm2Te (GGA-PBE, optimized geometry)" magmom_total_mub_per_fu=0.0 formation_energy_uncorrected_ev_per_atom=-0.6848 total_energy_ev_per_atom=-5.02 vol_a3_per_atom=31.69 dos_ef_per_ev_cell=18.31 de_polymorph_mev_per_atom=0 spacegroup=Cmcm pbc="T T T"
Nd 0.0000 0.7103 2.5388
Nd 0.0000 11.5988 7.6163
Nd 2.0280 5.4442 7.6163
Nd 2.0280 6.8648 2.5388
Sm 0.0000 4.4799 0.3631
Sm 0.0000 4.4799 4.7144
Sm 0.0000 7.8291 5.4407
Sm 0.0000 7.8291 9.7919
Sm 2.0280 1.6746 5.4407
Sm 2.0280 1.6746 9.7919
Sm 2.0280 10.6344 0.3631
Sm 2.0280 10.6344 4.7144
Te 0.0000 2.8478 7.6163
Te 0.0000 9.4612 2.5388
Te 2.0280 3.3067 2.5388
Te 2.0280 9.0023 7.6163

---

Record 6
10
Lattice="3.9711 2.2927 7.1816 -3.9711 2.2927 7.1816 0.0000 -4.5855 7.1816" Properties=species:S:1:pos:R:3 comment="Nd3SmTe6 (GGA-PBE, optimized geometry)" magmom_total_mub_per_fu=0.0 formation_energy_uncorrected_ev_per_atom=-1.3810 total_energy_ev_per_atom=-5.17 vol_a3_per_atom=39.23 de_polymorph_mev_per_atom=4 spacegroup=R3 pbc="T T T"
Nd 0.0000 0.0000 0.0000
Nd 0.0000 0.0000 4.1176
Nd 0.0000 0.0000 10.7494
Sm 0.0000 0.0000 14.8634
Te -1.2657 -2.4740 9.2426
Te -2.4377 0.0055 12.8376
Te -1.5097 2.3331 9.2426
Te 1.2141 -2.1138 12.8376
Te 2.7754 0.1409 9.2426
Te 1.2236 2.1084 12.8376

---

Record 7
11
Lattice="3.8548 -6.6456 0.0000 3.8548 6.6456 0.0000 -2.5781 0.0000 7.2463" Properties=species:S:1:pos:R:3 comment="Nd2Sm3Te6 (GGA-PBE, optimized geometry)" magmom_total_mub_per_fu=0.0 formation_energy_uncorrected_ev_per_atom=-1.4627 total_energy_ev_per_atom=-5.33 vol_a3_per_atom=33.75 dos_ef_per_ev_cell=5.34 spacegroup=C2/m pbc="T T T"
Nd 3.8548 4.4617 0.0000
Nd 3.8548 -4.4617 0.0000
Sm -1.2891 0.0000 3.6232
Sm 2.5658 2.2537 3.6232
Sm 2.5658 -2.2537 3.6232
Te 0.0422 2.1428 5.4624
Te 1.3714 0.0000 1.7997
Te 0.0422 -2.1428 5.4624
Te 5.0894 2.1428 1.7839
Te 3.7601 0.0000 5.4466
Te 5.0894 -2.1428 1.7839

---

Record 8
12
Lattice="7.3127 -2.1632 0.0000 7.3127 2.1632 0.0000 -3.3016 0.0000 13.0120" Properties=species:S:1:pos:R:3 comment="NdSm4Te7 (GGA-PBE, optimized geometry)" magmom_total_mub_per_fu=0.0 formation_energy_uncorrected_ev_per_atom=-1.4171 total_energy_ev_per_atom=-5.22 vol_a3_per_atom=34.30 dos_ef_per_ev_cell=2.65 spacegroup=Cm pbc="T T T"
Nd 0.0000 0.0000 0.0000
Sm 0.2946 0.0000 5.5182
Sm 0.5866 0.0000 11.0076
Sm 4.0522 0.0000 7.9447
Sm 11.1620 0.0000 3.0810
Te -0.9862 0.0000 8.3257
Te 1.5762 0.0000 2.7118
Te 5.1742 0.0000 0.9701
Te 5.4160 0.0000 4.8877
Te 5.9684 0.0000 11.9862
Te 9.8041 0.0000 6.1344
Te 9.9881 0.0000 10.0293

---

Record 9
16
Lattice="4.4610 2.5755 7.3070 -4.4610 2.5755 7.3070 0.0000 -5.1511 7.3070" Properties=species:S:1:pos:R:3 comment="Nd3Sm5Te8 (GGA-PBE, optimized geometry)" magmom_total_mub_per_fu=0.0 formation_energy_uncorrected_ev_per_atom=-1.3936 total_energy_ev_per_atom=-5.33 vol_a3_per_atom=31.48 dos_ef_per_ev_cell=12.32 spacegroup=R-3m pbc="T T T"
Nd -2.2305 -1.2878 7.3070
Nd -2.2305 1.2878 14.6140
Nd 0.0000 2.5755 7.3070
Sm 0.0000 0.0000 0.0000
Sm -4.4610 0.0000 10.9605
Sm -2.2305 1.2878 3.6535
Sm 2.2305 1.2878 3.6535
Sm 0.0000 0.0000 10.9605
Te -2.2436 -1.2954 12.7657
Te 0.0000 0.0000 5.4469
Te 0.0000 -2.5907 9.1554
Te -2.2436 1.2954 9.1554
Te 2.2436 -1.2954 12.7656
Te 0.0000 2.5907 12.7656
Te 0.0000 0.0000 16.4742
Te 2.2436 1.2954 9.1554

---

Record 10
16
Lattice="9.0595 0.0000 0.0000 0.0000 12.6877 0.0000 0.0000 0.0000 4.4402" Properties=species:S:1:pos:R:3 comment="Nd3SmTe4 (GGA-PBE, optimized geometry)" magmom_total_mub_per_fu=0.0 formation_energy_uncorrected_ev_per_atom=-1.4118 total_energy_ev_per_atom=-5.36 vol_a3_per_atom=31.90 dos_ef_per_ev_cell=10.48 de_polymorph_mev_per_atom=0 spacegroup=Cmmm pbc="T T T"
Nd 0.0000 0.0000 0.0000
Nd 2.2649 3.1719 2.2201
Nd 2.2649 9.5158 2.2201
Nd 4.5297 6.3439 0.0000
Nd 6.7946 3.1719 2.2201
Nd 6.7946 9.5158 2.2201
Sm 0.0000 6.3439 0.0000
Sm 4.5297 0.0000 0.0000
Te 0.0000 3.1911 0.0000
Te 0.0000 9.4967 0.0000
Te 2.2382 6.3439 2.2201
Te 2.2915 0.0000 2.2201
Te 4.5297 3.1528 0.0000
Te 4.5297 9.5349 0.0000
Te 6.7679 0.0000 2.2201
Te 6.8213 6.3439 2.2201

---

Record 11
10
Lattice="-2.2385 2.2385 15.9492 2.2385 -2.2385 15.9492 2.2385 2.2385 -15.9492" Properties=species:S:1:pos:R:3 comment="Nd4SmTe5 (GGA-PBE, optimized geometry)" magmom_total_mub_per_fu=0.0 formation_energy_uncorrected_ev_per_atom=-1.4145 total_energy_ev_per_atom=-5.36 vol_a3_per_atom=31.97 dos_ef_per_ev_cell=5.31 spacegroup=I4/mmm pbc="T T T"
Nd 0.0000 0.0000 3.2682
Nd 0.0000 0.0000 9.7173
Nd 0.0000 0.0000 22.1811
Nd 0.0000 0.0000 28.6302
Sm 0.0000 0.0000 15.9492
Te 0.0000 0.0000 0.0000
Te 0.0000 0.0000 6.4677
Te 0.0000 0.0000 12.8442
Te 0.0000 0.0000 19.0542
Te 0.0000 0.0000 25.4308

---

Record 12
11
Lattice="6.9428 -3.1230 0.0000 6.9428 3.1230 0.0000 -2.7500 0.0000 8.3172" Properties=species:S:1:pos:R:3 comment="NdSm5Te5 (GGA-PBE, optimized geometry)" magmom_total_mub_per_fu=0.0 formation_energy_uncorrected_ev_per_atom=-1.1964 total_energy_ev_per_atom=-5.20 vol_a3_per_atom=32.79 dos_ef_per_ev_cell=7.20 spacegroup=C2/m pbc="T T T"
Nd 0.0000 0.0000 0.0000
Sm -1.3750 0.0000 4.1586
Sm 4.2008 0.0000 1.4752
Sm 2.8908 0.0000 5.5007
Sm 8.2447 0.0000 2.8165
Sm 6.9347 0.0000 6.8420
Te 1.3939 0.0000 2.7996
Te 0.1253 0.0000 6.9455
Te 6.9428 0.0000 0.0000
Te 11.0102 0.0000 1.3717
Te 9.7416 0.0000 5.5176